No. 1
DFT (PBE) results for Tb6Ge3S14 after structural relaxation.

As for the uncorrected formation energy: -1.452 eV/atom.

The space group is P3 (No. 143) and the conventional cell measures 9.9677, 9.9677 and 5.7776 Å, with angles of 90.00, 90.00 and 120.00 degrees. The inequivalent atoms are Tb at (0.0263, 0.5616, 0.0000), Tb at (0.3083, 0.1053, 0.5090), Ge at (0.0000, 0.0000, 0.9273), Ge at (0.3333, 0.6667, 0.4188), Ge at (0.6667, 0.3333, 0.2808), S at (0.0000, 0.0000, 0.3078), S at (0.0841, 0.8507, 0.7636), S at (0.1837, 0.4331, 0.2571), S at (0.3333, 0.6667, 0.8001), S at (0.4091, 0.1734, 0.0418) and S at (0.5025, 0.4297, 0.5352).

=====

No. 2
DFT (PBE) results for KGaHg2 after structural relaxation.

The calculated formation energy comes out at -26.5 meV per atom.

The space group is P4/mmm (No. 123) and the conventional cell measures 5.252, 5.252 and 4.129 Å, with angles of 90.00, 90.00 and 90.00 degrees. The inequivalent atoms are K at (0.000, 0.000, 0.000), Ga at (0.500, 0.500, 0.000) and Hg at (0.000, 0.500, 0.500).

=====

No. 3
DFT (PBE) results for Ta4Pt3 after structural relaxation.

The energy above the most stable polymorph in this dataset comes out at 9 meV/atom. The calculated formation energy comes out at -471.0 meV per atom.

The space group is P6/mmm (No. 191) and the conventional cell measures 5.2043, 5.2043 and 5.0946 Å, with angles of 90.00, 90.00 and 120.00 degrees. The inequivalent atoms are Ta at (0.0000, 0.0000, 0.2417), Ta at (0.3333, 0.6667, 0.0000) and Pt at (0.0000, 0.5000, 0.5000).

=====

Looking at magnetic moment for the records above, in order, we have 0.00 0.00 0.00 μB per cell.
Looking at total DFT energy (no corrections) for the records above, in order, we have -5.775 -1.208 -9.833 eV per atom.